Entry 1:
VASP calculation (PBE-GGA) on a geometry-optimized Pm5TmTl4 structure.

a = 3.6921 Å, b = 3.6921 Å, c = 22.0579 Å
α = 90.00°, β = 90.00°, γ = 90.00°
Fractional positions:
Pm  0.5000  0.5000  0.1115
Pm  0.5000  0.5000  0.3052
Pm  0.5000  0.5000  0.5000
Pm  0.5000  0.5000  0.6948
Pm  0.5000  0.5000  0.8885
Tm  0.0000  0.0000  0.0000
Tl  0.0000  0.0000  0.2080
Tl  0.0000  0.0000  0.4026
Tl  0.0000  0.0000  0.5974
Tl  0.0000  0.0000  0.7920

Computed properties:
Energy relative to the lowest polymorph listed for this composition in meV/atom: 0
Formation enthalpy at 0 K in meV/atom: -291
ρ in g/cm³: 9.45
Density of states at the Fermi level in states/eV per cell: 11.646

Entry 2:
VASP calculation (PBE-GGA) on a geometry-optimized PmTmTl structure.

a = 3.7590 Å, b = 5.2696 Å, c = 5.2696 Å
α = 120.00°, β = 90.00°, γ = 90.00°
Fractional positions:
Tl  0.7950  0.6667  0.3333
Tm  0.8609  0.0000  0.0000
Pm  0.3442  0.3333  0.6667

Computed properties:
Energy relative to the lowest polymorph listed for this composition in meV/atom: 94
Formation enthalpy at 0 K in meV/atom: -161
ρ in g/cm³: 9.52
Density of states at the Fermi level in states/eV per cell: 2.187